A plane-wave DFT calculation with GGA-PBE was carried out for crystalline Ac3PO at its relaxed geometry.

## Properties
space-group type: Pm-3m
raw formation energy: -1.137 eV/atom
crystal system: cubic

Cell: 5.1490 5.1490 5.1490 Å, 90.00 90.00 90.00°
Closest atoms and distances in Å follow each position.
Sites, in units of the cell vectors:
Ac: 0.0000 0.0000 0.5000  2 O 2.57
Ac: 0.0000 0.5000 0.0000  2 O 2.57
Ac: 0.5000 0.0000 0.0000  2 O 2.57
P: 0.5000 0.5000 0.5000  12 Ac 3.64
O: 0.0000 0.0000 0.0000  6 Ac 2.57

A plane-wave DFT calculation with GGA-PBE was carried out for crystalline Ba2IrW at its relaxed geometry.

## Properties
calculated formation energy: 1.199 eV per atom
space-group type: Cmmm
offset from the most stable computed form: 1.051 eV/atom
crystal system: orthorhombic

Cell: 3.2311 3.2311 10.0371 Å, 90.00 90.00 90.15°
Closest atoms and distances in Å follow each position.
Sites, in units of the cell vectors:
Ba: 0.0000 0.0000 0.2242  4 Ir 3.20-3.21, 4 Ba 3.23, 2 W 3.59
Ba: 0.0000 0.0000 0.7758  4 Ir 3.20-3.21, 4 Ba 3.23, 2 W 3.59
Ir: 0.5000 0.5000 0.0000  8 Ba 3.20-3.21, 4 Ir 3.23
W: 0.5000 0.5000 0.5000  4 W 3.23, 8 Ba 3.59

A plane-wave DFT calculation with GGA-PBE was carried out for crystalline YIn2Cl at its relaxed geometry.

## Properties
space-group type: Fm-3m
raw formation energy: -0.148 eV/atom
offset from the most stable computed form: 0.583 eV/atom
crystal system: cubic

Cell: 5.3864 5.3864 5.3864 Å, 60.00 60.00 60.00°
Closest atoms and distances in Å follow each position.
Sites, in units of the cell vectors:
Y: 0.0000 0.0000 0.0000  8 In 3.30
In: 0.2500 0.2500 0.2500  4 Cl 3.30, 4 Y 3.30
In: 0.7500 0.7500 0.7500  4 Y 3.30, 4 Cl 3.30
Cl: 0.5000 0.5000 0.5000  8 In 3.30

A plane-wave DFT calculation with GGA-PBE was carried out for crystalline Ta3ReGe at its relaxed geometry.

## Properties
calculated formation energy: 1.261 eV per atom
space-group type: Pm-3m
offset from the most stable computed form: 0.000 eV/atom
crystal system: cubic

Cell: 4.8621 4.8621 4.8621 Å, 90.00 90.00 90.00°
Closest atoms and distances in Å follow each position.
Sites, in units of the cell vectors:
Ta: 0.0000 0.0000 0.5000  2 Re 2.43
Ta: 0.0000 0.5000 0.0000  2 Re 2.43
Ta: 0.5000 0.0000 0.0000  2 Re 2.43
Re: 0.0000 0.0000 0.0000  6 Ta 2.43
Ge: 0.5000 0.5000 0.5000  12 Ta 3.44

A plane-wave DFT calculation with GGA-PBE was carried out for crystalline CuIr2 at its relaxed geometry.

## Properties
calculated formation energy: 0.107 eV per atom
space-group type: Immm
offset from the most stable computed form: 0.046 eV/atom
crystal system: orthorhombic

Cell: 4.6152 4.6152 4.6152 Å, 145.43 131.42 60.98°
Closest atoms and distances in Å follow each position.
Sites, in units of the cell vectors:
Cu: 0.0000 0.0000 0.0000  10 Ir 2.65-2.69, 2 Cu 2.74
Ir: 0.3328 0.3328 0.0000  5 Cu 2.65-2.69, 7 Ir 2.66-2.74
Ir: 0.6672 0.6672 0.0000  5 Cu 2.65-2.69, 7 Ir 2.66-2.74

A plane-wave DFT calculation with GGA-PBE was carried out for crystalline DyTh2Sn at its relaxed geometry.

## Properties
calculated formation energy: -0.346 eV per atom
space-group type: P4/mmm
offset from the most stable computed form: 0.000 eV/atom
crystal system: tetragonal

Cell: 4.8052 4.8052 5.0637 Å, 90.00 90.00 90.00°
Closest atoms and distances in Å follow each position.
Sites, in units of the cell vectors:
Dy: 0.0000 0.0000 0.0000  4 Sn 3.40, 8 Th 3.49
Th: 0.0000 0.5000 0.5000  4 Th 3.40, 4 Sn 3.49, 4 Dy 3.49
Th: 0.5000 0.0000 0.5000  4 Th 3.40, 4 Sn 3.49, 4 Dy 3.49
Sn: 0.5000 0.5000 0.0000  4 Dy 3.40, 8 Th 3.49

A plane-wave DFT calculation with GGA-PBE was carried out for crystalline CsBa3Pt at its relaxed geometry.

## Properties
calculated formation energy: -0.360 eV per atom
space-group type: C2/c
offset from the most stable computed form: 0.000 eV/atom
crystal system: monoclinic

Cell: 12.3606 12.3606 8.1813 Å, 90.30 90.30 101.67°
Closest atoms and distances in Å follow each position.
Sites, in units of the cell vectors:
Cs: 0.0635 0.1988 0.1007  4 Cs 4.79-5.11, 8 Ba 4.82-5.26
Cs: 0.1988 0.0635 0.6007  4 Cs 4.79-5.11, 8 Ba 4.82-5.26
Cs: 0.8012 0.9365 0.3993  4 Cs 4.79-5.11, 8 Ba 4.82-5.26
Cs: 0.9365 0.8012 0.8993  4 Cs 4.79-5.11, 8 Ba 4.82-5.26
Ba: 0.0839 0.6711 0.3949  1 Pt 3.06
Ba: 0.2133 0.5687 0.9186  2 Pt 3.13-3.19
Ba: 0.3289 0.9161 0.1051  1 Pt 3.06
Ba: 0.3324 0.4559 0.4198  3 Pt 3.16-3.22
Ba: 0.4313 0.7867 0.5814  2 Pt 3.13-3.19
Ba: 0.4559 0.3324 0.9198  3 Pt 3.16-3.22
Ba: 0.5441 0.6676 0.0802  3 Pt 3.16-3.22
Ba: 0.5687 0.2133 0.4186  2 Pt 3.13-3.19
Ba: 0.6676 0.5441 0.5802  3 Pt 3.16-3.22
Ba: 0.6711 0.0839 0.8949  1 Pt 3.06
Ba: 0.7867 0.4313 0.0814  2 Pt 3.13-3.19
Ba: 0.9161 0.3289 0.6051  1 Pt 3.06
Pt: 0.3141 0.6859 0.2500  6 Ba 3.06-3.22
Pt: 0.4386 0.5614 0.7500  6 Ba 3.13-3.20
Pt: 0.5614 0.4386 0.2500  6 Ba 3.13-3.20
Pt: 0.6859 0.3141 0.7500  6 Ba 3.06-3.22

A plane-wave DFT calculation with GGA-PBE was carried out for crystalline TbAlIrO6 at its relaxed geometry.

## Properties
space-group type: P-31c
raw formation energy: -1.880 eV/atom
crystal system: trigonal

Cell: 5.2359 5.2359 8.5311 Å, 90.00 90.00 120.00°
Closest atoms and distances in Å follow each position.
Sites, in units of the cell vectors:
Tb: 0.3333 0.6667 0.2500  6 O 2.27
Tb: 0.6667 0.3333 0.7500  6 O 2.27
Al: 0.0000 0.0000 0.0000  6 O 1.95
Al: 0.0000 0.0000 0.5000  6 O 1.95
Ir: 0.3333 0.6667 0.7500  6 O 1.97
Ir: 0.6667 0.3333 0.2500  6 O 1.97
O: 0.0457 0.3411 0.6170  1 Al 1.95, 1 Ir 1.97
O: 0.0457 0.7045 0.8830  1 Al 1.95, 1 Ir 1.97
O: 0.2955 0.3411 0.8830  1 Al 1.95, 1 Ir 1.97
O: 0.2955 0.9543 0.6170  1 Al 1.95, 1 Ir 1.97
O: 0.3411 0.0457 0.1170  1 Al 1.95, 1 Ir 1.97
O: 0.3411 0.2955 0.3830  1 Al 1.95, 1 Ir 1.97
O: 0.6589 0.7045 0.6170  1 Al 1.95, 1 Ir 1.97
O: 0.6589 0.9543 0.8830  1 Al 1.95, 1 Ir 1.97
O: 0.7045 0.0457 0.3830  1 Al 1.95, 1 Ir 1.97
O: 0.7045 0.6589 0.1170  1 Al 1.95, 1 Ir 1.97
O: 0.9543 0.2955 0.1170  1 Al 1.95, 1 Ir 1.97
O: 0.9543 0.6589 0.3830  1 Al 1.95, 1 Ir 1.97

A plane-wave DFT calculation with GGA-PBE was carried out for crystalline InCo2Mo at its relaxed geometry.

## Properties
calculated formation energy: 0.231 eV per atom
space-group type: P4mm
crystal system: tetragonal

Cell: 2.8574 2.8574 7.1304 Å, 90.00 90.00 90.00°
Closest atoms and distances in Å follow each position.
Sites, in units of the cell vectors:
In: 0.0000 0.0000 0.0000  4 Co 2.77, 4 In 2.86, 4 Mo 3.01
Co: 0.0000 0.0000 0.5443  4 Co 2.43, 4 Mo 2.61
Co: 0.5000 0.5000 0.7340  4 Co 2.43
Mo: 0.5000 0.5000 0.3131  4 Co 2.61, 4 Mo 2.86

A plane-wave DFT calculation with GGA-PBE was carried out for crystalline CsHg2SbTe4 at its relaxed geometry.

## Properties
space-group type: I222
raw formation energy: -0.283 eV/atom
crystal system: orthorhombic

Cell: 7.8327 7.8327 7.8327 Å, 122.34 105.87 101.04°
Closest atoms and distances in Å follow each position.
Sites, in units of the cell vectors:
Cs: 0.0000 0.0000 0.0000  8 Te 4.04
Hg: 0.3295 0.8295 0.5000  2 Te 2.69
Hg: 0.6705 0.1705 0.5000  2 Te 2.69
Sb: 0.5000 0.5000 0.0000  4 Te 3.00
Te: 0.1409 0.0964 0.5902  1 Hg 2.69, 1 Sb 3.00
Te: 0.4937 0.9036 0.0444  1 Hg 2.69, 1 Sb 3.00
Te: 0.5063 0.5507 0.4098  1 Hg 2.69, 1 Sb 3.00
Te: 0.8591 0.4493 0.9556  1 Hg 2.69, 1 Sb 3.00

A plane-wave DFT calculation with GGA-PBE was carried out for crystalline Tb2HfSe at its relaxed geometry.

## Properties
space-group type: R-3m
raw formation energy: -0.274 eV/atom
crystal system: trigonal

Cell: 10.1534 10.1534 10.1534 Å, 20.39 20.39 20.39°
Closest atoms and distances in Å follow each position.
Sites, in units of the cell vectors:
Tb: 0.1027 0.1027 0.1027  3 Se 2.82, 1 Hf 3.06
Tb: 0.8973 0.8973 0.8973  3 Se 2.82, 1 Hf 3.06
Hf: 0.0000 0.0000 0.0000  2 Tb 3.06
Se: 0.5000 0.5000 0.5000  6 Tb 2.82